(1)
Entry from the Alexandria database: crystalline TaMo at its relaxed geometry (GGA-PBE).

```
data_TaMo
_chemical_formula_sum 'Ta4 Mo4'
_symmetry_space_group_name_H-M 'P m m a'
_symmetry_Int_Tables_number 51
_symmetry_space_group_name_Hall '-P 2a 2a'
_cell_length_a 6.4495
_cell_length_b 3.2268
_cell_length_c 6.4886
_cell_angle_alpha 90.00
_cell_angle_beta 90.00
_cell_angle_gamma 90.00
loop_
_atom_site_label
_atom_site_type_symbol
_atom_site_fract_x
_atom_site_fract_y
_atom_site_fract_z
Ta1 Ta 0.0000 0.0000 0.0000
Ta2 Ta 0.2500 0.5000 0.2624
Mo1 Mo 0.0000 0.0000 0.5000
Mo2 Mo 0.2500 0.5000 0.7488
```

Computed properties:
* magnetic moment: 0.000 μB/f.u.
* final energy: -11.4753 eV/atom
* volume: 33.8 Å³/f.u.
* energy of formation from the pure elements: -0.13 eV per atom

***

(2)
Entry from the Alexandria database: crystalline VRu2SeN at its relaxed geometry (GGA-PBE).

```
data_VRu2SeN
_chemical_formula_sum 'V1 Ru2 Se1 N1'
_symmetry_space_group_name_H-M 'P 4/m m m'
_symmetry_Int_Tables_number 123
_symmetry_space_group_name_Hall '-P 4 2'
_cell_length_a 4.4894
_cell_length_b 4.4894
_cell_length_c 4.5084
_cell_angle_alpha 90.00
_cell_angle_beta 90.00
_cell_angle_gamma 90.00
loop_
_atom_site_label
_atom_site_type_symbol
_atom_site_fract_x
_atom_site_fract_y
_atom_site_fract_z
V1 V 0.0000 0.0000 0.0000
Ru1 Ru 0.0000 0.5000 0.5000
Se1 Se 0.0000 0.0000 0.5000
N1 N 0.5000 0.5000 0.0000
```

Computed properties:
* uncorrected formation energy: 2.02 eV per atom
* magnetic moment: 1.840 μB/f.u.
* final energy: -5.8720 eV/atom
* volume: 90.9 Å³/f.u.

***

(3)
Entry from the Alexandria database: crystalline Tb5ThRu6 at its relaxed geometry (GGA-PBE).

```
data_Tb5ThRu6
_chemical_formula_sum 'Tb5 Th1 Ru6'
_symmetry_space_group_name_H-M 'P 1 2/m 1'
_symmetry_Int_Tables_number 10
_symmetry_space_group_name_Hall '-P 2y'
_cell_length_a 4.8665
_cell_length_b 6.8879
_cell_length_c 7.6471
_cell_angle_alpha 90.00
_cell_angle_beta 108.40
_cell_angle_gamma 90.00
loop_
_atom_site_label
_atom_site_type_symbol
_atom_site_fract_x
_atom_site_fract_y
_atom_site_fract_z
Tb1 Tb 0.0000 0.0000 0.0000
Tb2 Tb 0.3295 0.5000 0.6587
Tb3 Tb 0.3334 0.0000 0.6661
Th1 Th 0.0000 0.5000 0.0000
Ru1 Ru 0.1621 0.2539 0.3252
Ru2 Ru 0.5000 0.2582 0.0000
```

Computed properties:
* magnetic moment: 0.000 μB/f.u.
* final energy: -7.5441 eV/atom
* volume: 243.2 Å³/f.u.
* energy of formation from the pure elements: -0.36 eV per atom

***

(4)
Entry from the Alexandria database: crystalline NaZnAsS3 at its relaxed geometry (GGA-PBE).

```
data_NaZnAsS3
_chemical_formula_sum 'Na2 Zn2 As2 S6'
_symmetry_space_group_name_H-M 'P 1 21/m 1'
_symmetry_Int_Tables_number 11
_symmetry_space_group_name_Hall '-P 2yb'
_cell_length_a 8.0474
_cell_length_b 3.7811
_cell_length_c 10.0534
_cell_angle_alpha 90.00
_cell_angle_beta 101.02
_cell_angle_gamma 90.00
loop_
_atom_site_label
_atom_site_type_symbol
_atom_site_fract_x
_atom_site_fract_y
_atom_site_fract_z
Na1 Na 0.2362 0.2500 0.2410
Zn1 Zn 0.1147 0.7500 0.5937
As1 As 0.3840 0.2500 0.8555
S1 S 0.0370 0.7500 0.3506
S2 S 0.3380 0.7500 0.0536
S3 S 0.4021 0.7500 0.6929
```

Computed properties:
* uncorrected formation energy: -0.60 eV per atom
* magnetic moment: 0.000 μB/f.u.
* final energy: -3.8716 eV/atom
* volume: 150.1 Å³/f.u.

***

(5)
Entry from the Alexandria database: crystalline LiMn3Cl at its relaxed geometry (GGA-PBE).

```
data_LiMn3Cl
_chemical_formula_sum 'Li1 Mn3 Cl1'
_symmetry_space_group_name_H-M 'P m -3 m'
_symmetry_Int_Tables_number 221
_symmetry_space_group_name_Hall '-P 4 2 3'
_cell_length_a 4.3304
_cell_length_b 4.3304
_cell_length_c 4.3304
_cell_angle_alpha 90.00
_cell_angle_beta 90.00
_cell_angle_gamma 90.00
loop_
_atom_site_label
_atom_site_type_symbol
_atom_site_fract_x
_atom_site_fract_y
_atom_site_fract_z
Li1 Li 0.0000 0.0000 0.0000
Mn1 Mn 0.0000 0.5000 0.5000
Cl1 Cl 0.5000 0.5000 0.5000
```

Computed properties:
* uncorrected formation energy: 0.66 eV per atom
* excess energy over the best structure of this formula in the dataset: 0.0 meV/atom
* magnetic moment: 9.041 μB/f.u.
* final energy: -5.5936 eV/atom
* volume: 81.2 Å³/f.u.

***

(6)
Entry from the Alexandria database: crystalline Al4Br at its relaxed geometry (GGA-PBE).

```
data_Al4Br
_chemical_formula_sum 'Al8 Br2'
_symmetry_space_group_name_H-M 'I 4/m m m'
_symmetry_Int_Tables_number 139
_symmetry_space_group_name_Hall '-I 4 2'
_cell_length_a 4.0324
_cell_length_b 4.0324
_cell_length_c 13.0368
_cell_angle_alpha 90.00
_cell_angle_beta 90.00
_cell_angle_gamma 90.00
loop_
_atom_site_label
_atom_site_type_symbol
_atom_site_fract_x
_atom_site_fract_y
_atom_site_fract_z
Al1 Al 0.0000 0.0000 0.1021
Al2 Al 0.0000 0.5000 0.2500
Br1 Br 0.0000 0.0000 0.5000
```

Computed properties:
* uncorrected formation energy: 0.15 eV per atom
* excess energy over the best structure of this formula in the dataset: 0.0 meV/atom
* magnetic moment: 0.000 μB/f.u.
* final energy: -3.1789 eV/atom
* volume: 106.0 Å³/f.u.